Entry 1:
The following is a DFT calculation (PBE-GGA) of crystalline TbPu3U4P8 at its relaxed geometry.

a b c (Å): 7.9336 7.9336 7.9336
angles (deg): 59.76 59.76 59.76
Last column: nearest neighbours and their distance in Å.
Fractional coordinates of all 16 atoms:
1 Tb 0.0000 0.0000 0.0000  6 P 2.83
2 Pu 0.0000 0.5000 0.5000  6 P 2.82
3 Pu 0.5000 0.0000 0.5000  6 P 2.82
4 Pu 0.5000 0.5000 0.0000  6 P 2.82
5 U 0.0000 0.0000 0.5000  6 P 2.78
6 U 0.0000 0.5000 0.0000  6 P 2.78
7 U 0.5000 0.0000 0.0000  6 P 2.78
8 U 0.5000 0.5000 0.5000  6 P 2.77
9 P 0.2485 0.2485 0.2485  3 U 2.78, 3 Pu 2.82
10 P 0.2493 0.7471 0.7471  3 U 2.77-2.78, 2 Pu 2.82, 1 Tb 2.83
11 P 0.2529 0.2529 0.7507  3 U 2.77-2.78, 2 Pu 2.82, 1 Tb 2.83
12 P 0.2529 0.7507 0.2529  3 U 2.77-2.78, 2 Pu 2.82, 1 Tb 2.83
13 P 0.7471 0.2493 0.7471  3 U 2.77-2.78, 2 Pu 2.82, 1 Tb 2.83
14 P 0.7471 0.7471 0.2493  3 U 2.77-2.78, 2 Pu 2.82, 1 Tb 2.83
15 P 0.7507 0.2529 0.2529  3 U 2.77-2.78, 2 Pu 2.82, 1 Tb 2.83
16 P 0.7515 0.7515 0.7515  3 U 2.78, 3 Pu 2.82

Properties
The calculated density is 9.89 g cm⁻³. For the magnetic moment, the calculation gives 0.7454 μB per atom. The energy of formation comes out at -1.1069 eV per atom. For the volume, the calculation gives 351 Å³/cell. The space group is R-3m (166).


Entry 2:
The following is a DFT calculation (PBE-GGA) of crystalline Pr4Tm2Sn3O2 at its relaxed geometry.

a b c (Å): 13.1346 13.1346 13.1346
angles (deg): 158.78 158.78 30.19
Last column: nearest neighbours and their distance in Å.
Fractional coordinates of all 11 atoms:
1 Pr 0.0848 0.5848 0.5000  2 O 2.50
2 Pr 0.4152 0.9152 0.5000  2 O 2.50
3 Pr 0.5848 0.0848 0.5000  2 O 2.50
4 Pr 0.9152 0.4152 0.5000  2 O 2.50
5 Tm 0.1949 0.1949 0.0000  1 O 2.18
6 Tm 0.8051 0.8051 0.0000  1 O 2.18
7 Sn 0.3185 0.3185 0.0000  5 Tm 3.14-3.44, 4 Pr 3.44
8 Sn 0.5000 0.5000 0.0000  8 Pr 3.24
9 Sn 0.6815 0.6815 0.0000  5 Tm 3.14-3.44, 4 Pr 3.44
10 O 0.1091 0.1091 0.0000  1 Tm 2.18
11 O 0.8909 0.8909 0.0000  1 Tm 2.18

Properties
The calculated density is 7.22 g cm⁻³. For the formation energy without anion corrections, the calculation gives -1.422 eV/atom. For the magnetic moment, the calculation gives 0.0000 μB per atom. For the volume, the calculation gives 297 Å³/cell. The space group is I4/mmm (139).


Entry 3:
The following is a DFT calculation (PBE-GGA) of crystalline CoTeAsPb2 at its relaxed geometry.

a b c (Å): 5.5293 5.5293 5.5544
angles (deg): 90.00 90.00 90.00
Last column: nearest neighbours and their distance in Å.
Fractional coordinates of all 5 atoms:
1 Co 0.0000 0.0000 0.0000  4 Te 3.91, 8 Pb 3.92
2 Te 0.5000 0.5000 0.0000  2 As 2.78
3 As 0.5000 0.5000 0.5000  4 Pb 2.76, 2 Te 2.78
4 Pb 0.0000 0.5000 0.5000  2 As 2.76
5 Pb 0.5000 0.0000 0.5000  2 As 2.76

Properties
The calculated density is 6.61 g cm⁻³. For the formation energy without anion corrections, the calculation gives 0.971 eV/atom. For the magnetic moment, the calculation gives 0.4186 μB per atom. For the volume, the calculation gives 170 Å³/cell. The space group is P4/mmm (123).


Entry 4:
The following is a DFT calculation (PBE-GGA) of crystalline Cs2BaH2Br2 at its relaxed geometry.

a b c (Å): 5.2460 5.2460 19.0954
angles (deg): 90.00 90.00 90.00
Last column: nearest neighbours and their distance in Å.
Fractional coordinates of all 14 atoms:
1 Cs 0.0000 0.0000 0.1392  5 Br 3.66-3.75, 4 H 3.73
2 Cs 0.0000 0.0000 0.8608  5 Br 3.66-3.75, 4 H 3.73
3 Cs 0.5000 0.5000 0.3608  5 Br 3.66-3.75, 4 H 3.73
4 Cs 0.5000 0.5000 0.6392  5 Br 3.66-3.75, 4 H 3.73
5 Ba 0.0000 0.0000 0.5000  4 H 2.62
6 Ba 0.5000 0.5000 0.0000  4 H 2.62
7 H 0.0000 0.5000 0.0000  2 Ba 2.62
8 H 0.0000 0.5000 0.5000  2 Ba 2.62
9 H 0.5000 0.0000 0.0000  2 Ba 2.62
10 H 0.5000 0.0000 0.5000  2 Ba 2.62
11 Br 0.0000 0.0000 0.3308  1 Ba 3.23
12 Br 0.0000 0.0000 0.6692  1 Ba 3.23
13 Br 0.5000 0.5000 0.1692  1 Ba 3.23
14 Br 0.5000 0.5000 0.8308  1 Ba 3.23

Properties
The total energy comes out at -43.446 eV per cell. The calculated density is 3.57 g cm⁻³. For the magnetic moment, the calculation gives 0.0000 μB per atom. For the volume, the calculation gives 526 Å³/cell. The space group is I4/mmm (139).


Entry 5:
The following is a DFT calculation (PBE-GGA) of crystalline HfThZn2 at its relaxed geometry.

a b c (Å): 3.4427 3.4427 7.1556
angles (deg): 90.00 90.00 90.00
Last column: nearest neighbours and their distance in Å.
Fractional coordinates of all 4 atoms:
1 Hf 0.0000 0.0000 0.0000  8 Zn 2.85
2 Th 0.0000 0.0000 0.5000  8 Zn 3.21, 4 Th 3.44, 2 Hf 3.58
3 Zn 0.5000 0.5000 0.2081  4 Hf 2.85, 1 Zn 2.98
4 Zn 0.5000 0.5000 0.7919  4 Hf 2.85, 1 Zn 2.98

Properties
The calculated density is 10.60 g cm⁻³. For the magnetic moment, the calculation gives 0.0000 μB per atom. The energy of formation comes out at -0.1496 eV per atom. For the volume, the calculation gives 85 Å³/cell. The space group is P4/mmm (123).


magnetic moment of number 4 (Cs2BaH2Br2)? 0.0000 μB per atom


Which of these has the highest magnetic moment? TbPu3U4P8


Look up the calculated density of the fifth one. 10.60 g cm⁻³